NaTi2WO8 | PBE with a Hubbard U | relaxed

a b c (Å): 4.744 4.742 6.313
angles (deg): 90.00 90.00 87.40
Sites, in units of the cell vectors:
Na 0.000 0.000 0.500
Ti 0.500 0.500 0.726
Ti 0.500 0.500 0.274
W 0.000 0.000 0.000
O 0.211 0.789 0.213
O 0.710 0.710 0.000
O 0.789 0.211 0.213
O 0.789 0.211 0.787
O 0.290 0.290 0.000
O 0.211 0.789 0.787
O 0.676 0.676 0.500
O 0.324 0.324 0.500

Output
calculated total energy = -7.6357 eV/atom